1.
Here is a relaxed CsSbTe2N crystal from Alexandria via LeMat-Bulk. Energies are from GGA-PBEsol.

As for the total magnetization: 0.0 μB/cell. The uncorrected energy is -3.885 eV/atom. The energy relative to the elements, uncorrected comes out at 0.33 eV/atom.

The space group is P4/mmm (No. 123) and the conventional cell measures 6.292, 6.292 and 3.895 Å, with angles of 90.00, 90.00 and 90.00 degrees. The distinct sites, in fractional coordinates, are Cs at (0.000, 0.000, 0.000), Sb at (0.500, 0.500, 0.500), Te at (0.000, 0.500, 0.500) and N at (0.500, 0.500, 0.000).

=====

2.
Here is a relaxed CsScN2 crystal from Alexandria via LeMat-Bulk. Energies are from GGA-PBEsol.

As for the total magnetization: 0.0 μB/cell. The uncorrected energy is -6.167 eV/atom. The energy relative to the elements, uncorrected comes out at -0.02 eV/atom.

The space group is R-3m (No. 166, hexagonal axes) and the conventional cell measures 3.4519, 3.4519 and 21.1129 Å, with angles of 90.00, 90.00 and 120.00 degrees. The distinct sites, in fractional coordinates, are Cs at (0.0000, 0.0000, 0.0000), Sc at (0.0000, 0.0000, 0.5000) and N at (0.0000, 0.0000, 0.1203).

=====

3.
Here is a relaxed CsSc2N crystal from Alexandria via LeMat-Bulk. Energies are from GGA-PBEsol.

As for the total magnetization: 0.0 μB/cell. The uncorrected energy is -6.043 eV/atom. The energy relative to the elements, uncorrected comes out at -0.37 eV/atom.

The space group is Fd-3m (No. 227, origin choice 2) and the conventional cell measures 9.667, 9.667 and 9.667 Å, with angles of 90.00, 90.00 and 90.00 degrees. The distinct sites, in fractional coordinates, are Cs at (0.125, 0.125, 0.125), Sc at (0.000, 0.000, 0.500) and N at (0.125, 0.125, 0.625).

=====

4.
Here is a relaxed CsScSe2N crystal from Alexandria via LeMat-Bulk. Energies are from GGA-PBEsol.

As for the total magnetization: 0.1 μB/cell. The uncorrected energy is -3.507 eV/atom. The energy relative to the elements, uncorrected comes out at 1.25 eV/atom.

The space group is P4/mmm (No. 123) and the conventional cell measures 5.536, 5.536 and 4.237 Å, with angles of 90.00, 90.00 and 90.00 degrees. The distinct sites, in fractional coordinates, are Cs at (0.000, 0.000, 0.000), Sc at (0.500, 0.500, 0.500), Se at (0.000, 0.500, 0.000) and N at (0.000, 0.000, 0.500).

=====

5.
Here is a relaxed CsScTeN2 crystal from Alexandria via LeMat-Bulk. Energies are from GGA-PBEsol.

As for the total magnetization: 3.5 μB/cell. The uncorrected energy is -5.183 eV/atom. The energy relative to the elements, uncorrected comes out at 0.44 eV/atom.

The space group is P4/mmm (No. 123) and the conventional cell measures 4.631, 4.631 and 5.585 Å, with angles of 90.00, 90.00 and 90.00 degrees. The distinct sites, in fractional coordinates, are Cs at (0.000, 0.000, 0.000), Sc at (0.500, 0.500, 0.500), Te at (0.500, 0.500, 0.000) and N at (0.000, 0.500, 0.500).

=====

6.
Here is a relaxed CsScTe2N crystal from Alexandria via LeMat-Bulk. Energies are from GGA-PBEsol.

As for the total magnetization: 0.6 μB/cell. The uncorrected energy is -4.895 eV/atom. The energy relative to the elements, uncorrected comes out at -0.27 eV/atom.

The space group is P4/mmm (No. 123) and the conventional cell measures 6.095, 6.095 and 3.958 Å, with angles of 90.00, 90.00 and 90.00 degrees. The distinct sites, in fractional coordinates, are Cs at (0.000, 0.000, 0.000), Sc at (0.500, 0.500, 0.500), Te at (0.000, 0.500, 0.500) and N at (0.500, 0.500, 0.000).